(1)
DFT (PBE) results for a geometry-optimized Ca2TaRh structure.

Cell and atoms, written as CIF:
```
data_Ca2TaRh
_cell_length_a 6.956
_cell_length_b 6.956
_cell_length_c 6.956
_cell_angle_alpha 90.00
_cell_angle_beta 90.00
_cell_angle_gamma 90.00
_space_group_name_H-M_alt 'F -4 3 m'
_space_group_IT_number 216
_space_group_name_Hall 'F -4 2 3'
loop_
_atom_site_label
_atom_site_fract_x
_atom_site_fract_y
_atom_site_fract_z
Ca1 0.000 0.000 0.000
Ca2 0.250 0.250 0.250
Ta1 0.000 0.000 0.500
Rh1 0.250 0.250 0.750
```

(2)
DFT (PBE) results for a geometry-optimized Ca2TaRh structure.

Cell and atoms, written as CIF:
```
data_Ca2TaRh
_cell_length_a 5.311
_cell_length_b 5.311
_cell_length_c 3.189
_cell_angle_alpha 90.00
_cell_angle_beta 90.00
_cell_angle_gamma 90.00
_space_group_name_H-M_alt 'P 4/m m m'
_space_group_IT_number 123
_space_group_name_Hall '-P 4 2'
loop_
_atom_site_label
_atom_site_fract_x
_atom_site_fract_y
_atom_site_fract_z
Ca1 0.000 0.500 0.000
Ta1 0.000 0.000 0.500
Rh1 0.500 0.500 0.500
```

Let's list energy relative to the lowest polymorph listed for this composition in order: 447 666 meV/atom.
Let's list E_tot in order: -5.395 -5.176 eV per atom.
Let's list formation energy in order: 0.4065 0.6258 eV per atom.